Entry from the Alexandria database: a relaxed structure of BaGaI4Br (PBE-GGA).

* calculated total energy: -2.905 eV per atom
* SG: No. 12
* energy relative to the elements, uncorrected: -1.0729 eV/atom
* calculated volume: 55.14 Å³ per atom

Structure (POSCAR):
```
BaGaI4Br
1.0
8.411 -1.026 0.272
1.818 8.276 0.272
2.419 1.714 10.929
Ba Ga I Br
2 2 8 2
Direct
0.197 0.197 0.932
0.803 0.803 0.068
0.664 0.664 0.734
0.336 0.336 0.266
0.182 0.182 0.469
0.818 0.818 0.531
0.147 0.500 0.118
0.531 0.531 0.301
0.500 0.853 0.882
0.500 0.147 0.118
0.469 0.469 0.699
0.853 0.500 0.882
0.001 0.001 0.180
0.999 0.999 0.820
```